VASP calculation (meta-GGA SCAN) on a crystal of Ag2Sb relaxed with PBEsol.

a = 3.093 Å, b = 5.755 Å, c = 7.405 Å
α = 111.02°, β = 90.00°, γ = 105.59°
Positions (direct):
Ag (0.550, 0.099, 0.779)
Sb (0.169, 0.338, 0.156)
Sb (0.831, 0.662, 0.844)
Ag (0.137, 0.274, 0.522)
Ag (0.450, 0.901, 0.221)
Ag (0.863, 0.726, 0.478)

Values from the calculation:
Its space group is C2/m, No. 12. The value obtained for the formation energy from raw total energies is 74 meV/atom.

---

VASP calculation (meta-GGA SCAN) on a crystal of Ba5Li2W3O15 relaxed with PBEsol.

a = 5.736 Å, b = 5.736 Å, c = 23.789 Å
α = 90.00°, β = 90.00°, γ = 120.00°
Positions (direct):
O (0.491, 0.509, 0.853)
O (0.509, 0.017, 0.353)
O (0.825, 0.175, 0.447)
W (0.333, 0.667, 0.202)
O (0.176, 0.824, 0.242)
Ba (0.000, 0.000, 0.849)
O (0.176, 0.353, 0.242)
Li (0.000, 0.000, 0.491)
O (0.500, 0.500, 0.649)
O (0.175, 0.825, 0.947)
O (0.017, 0.509, 0.853)
W (0.333, 0.667, 0.597)
O (0.351, 0.176, 0.057)
O (0.649, 0.824, 0.557)
O (0.176, 0.351, 0.557)
O (0.175, 0.350, 0.947)
O (0.824, 0.649, 0.057)
O (0.983, 0.491, 0.353)
Li (0.333, 0.667, 0.319)
O (0.824, 0.647, 0.742)
Ba (0.000, 0.000, 0.650)
O (0.500, 0.000, 0.149)
O (0.500, 0.500, 0.149)
W (0.667, 0.333, 0.401)
Ba (0.000, 0.000, 0.349)
O (0.824, 0.176, 0.742)
Ba (0.333, 0.667, 0.043)
O (0.509, 0.491, 0.353)
O (0.000, 0.500, 0.149)
Ba (0.000, 0.000, 0.150)
O (0.647, 0.824, 0.242)
O (0.650, 0.825, 0.947)
Ba (0.333, 0.667, 0.757)
O (0.825, 0.650, 0.447)
O (0.353, 0.176, 0.742)
Ba (0.667, 0.333, 0.257)
Ba (0.667, 0.333, 0.543)
W (0.333, 0.667, 0.901)
W (0.667, 0.333, 0.702)
O (0.176, 0.824, 0.557)
W (0.667, 0.333, 0.097)
O (0.824, 0.176, 0.057)
O (0.491, 0.983, 0.853)
Ba (0.667, 0.333, 0.947)
Ba (0.333, 0.667, 0.447)
Li (0.667, 0.333, 0.819)
Li (0.000, 0.000, 0.991)
O (0.350, 0.175, 0.447)
O (0.500, 0.000, 0.649)
O (0.000, 0.500, 0.649)

Values from the calculation:
Its space group is P6_3mc, No. 186. The value obtained for the formation energy from raw total energies is -2812 meV/atom.

---

VASP calculation (meta-GGA SCAN) on a crystal of Ba2MnTc relaxed with PBEsol.

a = 3.674 Å, b = 3.599 Å, c = 8.470 Å
α = 90.00°, β = 90.00°, γ = 90.00°
Last column: magnetic moment on the atom in μB.
Positions (direct):
Tc (0.500, 0.500, 0.500)  2.07
Mn (0.500, 0.500, 0.000)  4.23
Ba (0.000, 0.000, 0.266)  -0.10
Ba (0.000, 0.000, 0.734)  -0.10

Values from the calculation:
The formation energy is 0.913 eV/atom. Its space group is Pmmm, No. 47.

---

VASP calculation (meta-GGA SCAN) on a crystal of Sr2FePt2 relaxed with PBEsol.

a = 3.713 Å, b = 3.713 Å, c = 9.370 Å
α = 101.43°, β = 101.43°, γ = 90.00°
Last column: magnetic moment on the atom in μB.
Positions (direct):
Sr (0.614, 0.614, 0.228)  0.00
Pt (0.250, 0.750, 0.500)  0.00
Pt (0.750, 0.250, 0.500)  0.00
Fe (0.000, 0.000, 0.000)  3.22
Sr (0.386, 0.386, 0.772)  0.00

Values from the calculation:
The formation energy is -0.011 eV/atom. Its space group is I4/mmm, No. 139.

---

no.,electronic total energy (eV per atom)
1,-33.26
2,-23.01
3,-32.19
4,-40.62